# 1
This record from OQMD via LeMat-Bulk describes a relaxed Y4Ta2Ga3C3 crystal. The functional is PBE.

The volume comes out at 875 Å³ per cell. Its total energy is -372.2 eV per cell.

Structure (CIF):
```
data_Y4Ta2Ga3C3
_chemical_formula_sum 'Y16 Ta8 Ga12 C12'
_space_group_name_H-M_alt 'C 1 2/c 1'
_space_group_IT_number 15
_space_group_name_Hall '-C 2yc'
_cell_length_a 10.3532
_cell_length_b 6.0012
_cell_length_c 14.5352
_cell_angle_alpha 90.00
_cell_angle_beta 104.43
_cell_angle_gamma 90.00
loop_
_atom_site_label
_atom_site_type_symbol
_atom_site_fract_x
_atom_site_fract_y
_atom_site_fract_z
_atom_site_occupancy
Y1 Y 0.1190 0.0740 0.1040 1
Y2 Y 0.2093 0.0892 0.3959 1
Ta1 Ta 0.0636 0.4112 0.9261 1
Ga1 Ga 0.0000 0.1658 0.7500 1
Ga2 Ga 0.1259 0.4568 0.2477 1
C1 C 0.0742 0.2773 0.5000 1
C2 C 0.2500 0.2500 0.0000 1
```



# 2
This record from OQMD via LeMat-Bulk describes a relaxed Cu2Ag crystal. The functional is PBE.

The volume comes out at 250 Å³ per cell. The distance to the lowest polymorph of the same formula is 30 meV/atom. Its total energy is -60.2 eV per cell. Its formation energy is 75 meV/atom.

Structure (CIF):
```
data_Cu2Ag
_chemical_formula_sum 'Cu12 Ag6'
_space_group_name_H-M_alt 'I m m 2'
_space_group_IT_number 44
_space_group_name_Hall 'I 2 -2'
_cell_length_a 2.7580
_cell_length_b 3.5358
_cell_length_c 25.5993
_cell_angle_alpha 90.00
_cell_angle_beta 90.00
_cell_angle_gamma 90.00
loop_
_atom_site_label
_atom_site_type_symbol
_atom_site_fract_x
_atom_site_fract_y
_atom_site_fract_z
_atom_site_occupancy
Cu1 Cu 0.0000 0.0000 0.0000 1
Cu2 Cu 0.0000 0.0000 0.0979 1
Cu3 Cu 0.0000 0.0000 0.3336 1
Cu4 Cu 0.0000 0.0000 0.4517 1
Cu5 Cu 0.0000 0.0000 0.5497 1
Cu6 Cu 0.0000 0.0000 0.7863 1
Ag1 Ag 0.0000 0.0000 0.2267 1
Ag2 Ag 0.0000 0.0000 0.6569 1
Ag3 Ag 0.0000 0.0000 0.8927 1
```



# 3
This record from OQMD via LeMat-Bulk describes a relaxed Cu2Ge2Ir crystal. The functional is PBE.

The volume comes out at 149 Å³ per cell. Its total energy is -45.6 eV per cell.

Structure (CIF):
```
data_Cu2Ge2Ir
_chemical_formula_sum 'Cu4 Ge4 Ir2'
_space_group_name_H-M_alt 'I 4/m m m'
_space_group_IT_number 139
_space_group_name_Hall '-I 4 2'
_cell_length_a 3.6709
_cell_length_b 3.6709
_cell_length_c 11.0669
_cell_angle_alpha 90.00
_cell_angle_beta 90.00
_cell_angle_gamma 90.00
loop_
_atom_site_label
_atom_site_type_symbol
_atom_site_fract_x
_atom_site_fract_y
_atom_site_fract_z
_atom_site_occupancy
Cu1 Cu 0.0000 0.0000 0.1020 1
Ge1 Ge 0.0000 0.5000 0.2500 1
Ir1 Ir 0.0000 0.0000 0.5000 1
```



# 4
This record from OQMD via LeMat-Bulk describes a relaxed Mo15Se19 crystal. The functional is PBE.

The volume comes out at 1556 Å³ per cell. The distance to the lowest polymorph of the same formula is 0 meV/atom. Its total energy is -492.1 eV per cell.

Structure (CIF):
```
data_Mo15Se19
_chemical_formula_sum 'Mo30 Se38'
_space_group_name_H-M_alt 'P 63/m'
_space_group_IT_number 176
_space_group_name_Hall '-P 6c'
_cell_length_a 9.5279
_cell_length_b 9.5279
_cell_length_c 19.7961
_cell_angle_alpha 90.00
_cell_angle_beta 90.00
_cell_angle_gamma 120.00
loop_
_atom_site_label
_atom_site_type_symbol
_atom_site_fract_x
_atom_site_fract_y
_atom_site_fract_z
_atom_site_occupancy
Mo1 Mo 0.0219 0.1729 0.0601 1
Mo2 Mo 0.1636 0.5111 0.2500 1
Mo3 Mo 0.1822 0.6888 0.1333 1
Se1 Se 0.0000 0.0000 0.1617 1
Se2 Se 0.0013 0.6256 0.6441 1
Se3 Se 0.0357 0.6976 0.2500 1
Se4 Se 0.0377 0.3305 0.5477 1
Se5 Se 0.3333 0.6667 0.0315 1
```



# 5
This record from OQMD via LeMat-Bulk describes a relaxed Er5FeTe3 crystal. The functional is PBE.

The volume comes out at 235 Å³ per cell. The distance to the lowest polymorph of the same formula is 86 meV/atom. Its total energy is -44.1 eV per cell.

Structure (CIF):
```
data_Er5FeTe3
_chemical_formula_sum 'Er5 Fe1 Te3'
_space_group_name_H-M_alt 'P -6 2 m'
_space_group_IT_number 189
_space_group_name_Hall 'P -6 -2'
_cell_length_a 8.2317
_cell_length_b 8.2317
_cell_length_c 4.0099
_cell_angle_alpha 90.00
_cell_angle_beta 90.00
_cell_angle_gamma 120.00
loop_
_atom_site_label
_atom_site_type_symbol
_atom_site_fract_x
_atom_site_fract_y
_atom_site_fract_z
_atom_site_occupancy
Er1 Er 0.0000 0.6685 0.0000 1
Er2 Er 0.3333 0.6667 0.5000 1
Fe1 Fe 0.0000 0.0000 0.0000 1
Te1 Te 0.0000 0.2564 0.5000 1
```



# 6
This record from OQMD via LeMat-Bulk describes a relaxed TbSnAsO crystal. The functional is PBE.

The volume comes out at 171 Å³ per cell. The distance to the lowest polymorph of the same formula is 0 meV/atom. Its total energy is -48.2 eV per cell.

Structure (CIF):
```
data_TbSnAsO
_chemical_formula_sum 'Tb2 Sn2 As2 O2'
_space_group_name_H-M_alt 'P 4/n m m'
_space_group_IT_number 129
_cell_length_a 4.1328
_cell_length_b 4.1328
_cell_length_c 9.9932
_cell_angle_alpha 90.00
_cell_angle_beta 90.00
_cell_angle_gamma 90.00
loop_
_space_group_symop_operation_xyz
'x,y,z'
'-x,-y,-z'
'-y+1/2,x,z'
'y+1/2,-x,-z'
'-x+1/2,-y+1/2,z'
'x+1/2,y+1/2,-z'
'y,-x+1/2,z'
'-y,x+1/2,-z'
'x+1/2,-y,-z'
'-x+1/2,y,z'
'-y,-x,-z'
'y,x,z'
'-x,y+1/2,-z'
'x,-y+1/2,z'
'y+1/2,x+1/2,-z'
'-y+1/2,-x+1/2,z'
loop_
_atom_site_label
_atom_site_type_symbol
_atom_site_fract_x
_atom_site_fract_y
_atom_site_fract_z
_atom_site_occupancy
Tb1 Tb 0.2500 0.2500 0.1011 1
Sn1 Sn 0.2500 0.7500 0.5000 1
As1 As 0.2500 0.2500 0.7284 1
O1 O 0.2500 0.7500 0.0000 1
```



# 7
This record from OQMD via LeMat-Bulk describes a relaxed TbTm2In3Co2Cu crystal. The functional is PBE.

The volume comes out at 359 Å³ per cell. Its total energy is -85.4 eV per cell.

Structure (CIF):
```
data_TbTm2In3Co2Cu
_chemical_formula_sum 'Tb2 Tm4 In6 Co4 Cu2'
_space_group_name_H-M_alt 'A m m 2'
_space_group_IT_number 38
_space_group_name_Hall 'A 2 -2'
_cell_length_a 3.8423
_cell_length_b 12.7292
_cell_length_c 7.3448
_cell_angle_alpha 90.00
_cell_angle_beta 90.00
_cell_angle_gamma 90.00
loop_
_atom_site_label
_atom_site_type_symbol
_atom_site_fract_x
_atom_site_fract_y
_atom_site_fract_z
_atom_site_occupancy
Tb1 Tb 0.0000 0.0000 0.0000 1
Tm1 Tm 0.0000 0.2063 0.6197 1
In1 In 0.5000 0.0000 0.6712 1
In2 In 0.5000 0.1306 0.2849 1
Co1 Co 0.5000 0.1676 0.9134 1
Cu1 Cu 0.0000 0.0000 0.4149 1
```



# 8
This record from OQMD via LeMat-Bulk describes a relaxed CdSiW crystal. The functional is PBE.

The volume comes out at 238 Å³ per cell. The distance to the lowest polymorph of the same formula is 210 meV/atom. Its total energy is -65.7 eV per cell.

Structure (CIF):
```
data_CdSiW
_chemical_formula_sum 'Cd4 Si4 W4'
_space_group_name_H-M_alt 'F -4 3 m'
_space_group_IT_number 216
_space_group_name_Hall 'F -4 2 3'
_cell_length_a 6.1981
_cell_length_b 6.1981
_cell_length_c 6.1981
_cell_angle_alpha 90.00
_cell_angle_beta 90.00
_cell_angle_gamma 90.00
loop_
_atom_site_label
_atom_site_type_symbol
_atom_site_fract_x
_atom_site_fract_y
_atom_site_fract_z
_atom_site_occupancy
Cd1 Cd 0.0000 0.0000 0.0000 1
Si1 Si 0.0000 0.0000 0.5000 1
W1 W 0.2500 0.2500 0.2500 1
```



- Among the records above, which one has the highest volume?
  Mo15Se19